Record 1
Below is a geometry-optimized NdThSe3 structure, with properties calculated at the PBE level.

Lattice parameters (Å, degrees): 4.305 7.437 10.740 90.00 101.56 90.00
Atoms (fractional coordinates):
Th 0.839 0.995 0.677
Th 0.161 0.495 0.323
Se 0.250 0.159 0.500
Se 0.090 0.818 0.180
Se 0.408 0.832 0.817
Se 0.750 0.659 0.500
Se 0.592 0.332 0.183
Se 0.910 0.318 0.820
Nd 0.340 0.489 0.681
Nd 0.660 0.989 0.319

Values from the calculation:
- Raw total energy: -6.178 eV/atom
- SG: Cmc2_1
- Energy relative to the lowest polymorph listed for this composition: 0.156 eV per atom

Record 2
Below is a geometry-optimized Nd2ThSe5 structure, with properties calculated at the PBE level.

Lattice parameters (Å, degrees): 5.709 7.692 14.253 90.00 90.00 111.78
Atoms (fractional coordinates):
Se 0.311 0.622 0.425
Se 0.754 0.508 0.250
Se 0.311 0.622 0.075
Se 0.953 0.906 0.878
Se 0.047 0.094 0.378
Se 0.047 0.094 0.122
Se 0.953 0.906 0.622
Se 0.246 0.492 0.750
Se 0.689 0.378 0.925
Se 0.689 0.378 0.575
Nd 0.143 0.286 0.944
Nd 0.143 0.286 0.556
Nd 0.857 0.714 0.444
Nd 0.857 0.714 0.056
Th 0.801 0.602 0.750
Th 0.199 0.398 0.250

Values from the calculation:
- Raw total energy: -6.076 eV/atom
- SG: Cmcm
- Energy relative to the lowest polymorph listed for this composition: 0.072 eV per atom

Record 3
Below is a geometry-optimized Nd2ThSe5 structure, with properties calculated at the PBE level.

Lattice parameters (Å, degrees): 7.944 8.567 12.653 90.00 90.00 90.00
Atoms (fractional coordinates):
Nd 0.017 0.498 0.320
Nd 0.017 0.002 0.320
Nd 0.517 0.502 0.180
Nd 0.983 0.998 0.680
Nd 0.483 0.498 0.820
Nd 0.483 0.002 0.820
Nd 0.517 0.998 0.180
Nd 0.983 0.502 0.680
Th 0.079 0.250 0.008
Th 0.421 0.250 0.508
Th 0.921 0.750 0.992
Th 0.579 0.750 0.492
Se 0.325 0.750 0.316
Se 0.338 0.545 0.601
Se 0.338 0.955 0.601
Se 0.298 0.250 0.283
Se 0.960 0.750 0.499
Se 0.162 0.545 0.101
Se 0.662 0.455 0.399
Se 0.798 0.750 0.217
Se 0.675 0.250 0.684
Se 0.662 0.045 0.399
Se 0.040 0.250 0.501
Se 0.202 0.250 0.783
Se 0.162 0.955 0.101
Se 0.838 0.045 0.899
Se 0.838 0.455 0.899
Se 0.460 0.250 0.001
Se 0.702 0.750 0.717
Se 0.825 0.250 0.184
Se 0.540 0.750 0.999
Se 0.175 0.750 0.816

Values from the calculation:
- Raw total energy: -6.148 eV/atom
- SG: Pnma
- Energy relative to the lowest polymorph listed for this composition: 0.000 eV per atom

Record 4
Below is a geometry-optimized NdTh6Se12 structure, with properties calculated at the PBE level.

Lattice parameters (Å, degrees): 8.487 8.487 8.487 100.70 100.70 100.70
Atoms (fractional coordinates):
Th 0.689 0.860 0.370
Th 0.370 0.689 0.860
Th 0.311 0.140 0.630
Th 0.860 0.370 0.689
Th 0.140 0.630 0.311
Th 0.630 0.311 0.140
Se 0.828 0.579 0.439
Se 0.421 0.561 0.172
Se 0.439 0.828 0.579
Se 0.172 0.421 0.561
Se 0.951 0.332 0.063
Se 0.668 0.937 0.049
Se 0.049 0.668 0.937
Se 0.561 0.172 0.421
Se 0.579 0.439 0.828
Se 0.332 0.063 0.951
Se 0.937 0.049 0.668
Se 0.063 0.951 0.332
Nd 0.000 0.000 0.000

Values from the calculation:
- Raw total energy: -6.444 eV/atom
- SG: R-3

Record 5
Below is a geometry-optimized Nd2Th3Se8 structure, with properties calculated at the PBE level.

Lattice parameters (Å, degrees): 7.036 8.501 8.588 119.66 105.73 90.00
Atoms (fractional coordinates):
Se 0.582 0.114 0.750
Se 0.921 0.123 0.246
Se 0.904 0.611 0.222
Se 0.418 0.364 0.250
Se 0.418 0.886 0.250
Se 0.079 0.877 0.754
Se 0.096 0.389 0.778
Se 0.582 0.636 0.750
Nd 0.667 0.744 0.488
Nd 0.333 0.256 0.512
Th 0.000 0.748 0.000
Th 0.500 0.000 0.000
Th 0.000 0.252 0.000

Values from the calculation:
- Raw total energy: -6.259 eV/atom
- SG: C2/m

Record 6
Below is a geometry-optimized Nd2ThTl3Se6 structure, with properties calculated at the PBE level.

Lattice parameters (Å, degrees): 7.409 7.409 8.231 98.63 98.63 119.99
Atoms (fractional coordinates):
Se 0.398 0.071 0.213
Se 0.929 0.602 0.787
Se 0.071 0.398 0.213
Se 0.602 0.929 0.787
Se 0.746 0.746 0.215
Se 0.254 0.254 0.785
Tl 0.832 0.168 0.500
Tl 0.500 0.500 0.500
Tl 0.168 0.832 0.500
Nd 0.666 0.334 0.000
Nd 0.334 0.666 0.000
Th 0.000 0.000 0.000

Values from the calculation:
- Raw total energy: -5.052 eV/atom
- SG: C2/m

Record 7
Below is a geometry-optimized Nd3ThTl4Se8 structure, with properties calculated at the PBE level.

Lattice parameters (Å, degrees): 8.580 9.263 8.580 117.60 120.00 90.00
Atoms (fractional coordinates):
Nd 0.000 0.500 0.500
Nd 0.500 0.500 0.500
Nd 0.500 0.500 0.000
Se 0.744 0.713 0.978
Se 0.256 0.287 0.022
Se 0.262 0.286 0.524
Se 0.766 0.287 0.022
Se 0.234 0.713 0.469
Se 0.766 0.287 0.531
Se 0.234 0.713 0.978
Se 0.738 0.714 0.476
Tl 0.000 0.000 0.000
Tl 0.500 0.000 0.500
Tl 0.500 0.000 0.000
Tl 0.000 0.000 0.500
Th 0.000 0.500 0.000

Values from the calculation:
- Raw total energy: -5.014 eV/atom
- SG: R-3m

Record 8
Below is a geometry-optimized Nd2TmThSe5 structure, with properties calculated at the PBE level.

Lattice parameters (Å, degrees): 5.035 5.035 10.858 90.00 90.00 90.00
Atoms (fractional coordinates):
Se 0.000 0.000 0.250
Se 0.000 0.500 0.500
Se 0.500 0.000 0.500
Se 0.000 0.000 0.750
Se 0.500 0.500 0.000
Nd 0.500 0.500 0.706
Nd 0.500 0.500 0.294
Tm 0.000 0.000 0.500
Th 0.000 0.000 0.000

Values from the calculation:
- Raw total energy: -5.513 eV/atom
- SG: P4/mmm

Per-record size of the total moment, μB/f.u.: 0.5, 0.0, 0.0, 0.0, 0.0, 0.0, 0.0, 0.0
Per-record formation energy without anion corrections, eV/atom: -1.65, -1.78, -1.85, -1.65, -1.67, -1.31, -1.32, -1.20